(1)
# ZnNi2Pt, optimized geometry, DFT PBEsol
data_ZnNi2Pt
_chemical_formula_sum 'Zn2 Ni4 Pt2'
_cell_length_a 3.6938
_cell_length_b 3.6938
_cell_length_c 7.1630
_cell_angle_alpha 90.00
_cell_angle_beta 90.00
_cell_angle_gamma 90.00
_symmetry_space_group_name_H-M 'I -4 m 2'
_symmetry_Int_Tables_number 119
_symmetry_space_group_name_Hall 'I -4 -2'
loop_
_atom_site_label
_atom_site_type_symbol
_atom_site_fract_x
_atom_site_fract_y
_atom_site_fract_z
Zn1 Zn 0.0000 0.0000 0.0000
Ni1 Ni 0.0000 0.0000 0.5000
Ni2 Ni 0.0000 0.5000 0.2500
Pt1 Pt 0.0000 0.5000 0.7500
# Energy ... -5.442 eV/atom
# Crystal system ... tetragonal
# Magnetization ... 0.258 μB/atom


(2)
# ZnNi2Pt, optimized geometry, DFT PBEsol
data_ZnNi2Pt
_chemical_formula_sum 'Zn1 Ni2 Pt1'
_cell_length_a 2.6535
_cell_length_b 4.2089
_cell_length_c 4.3721
_cell_angle_alpha 90.00
_cell_angle_beta 90.00
_cell_angle_gamma 90.00
_symmetry_space_group_name_H-M 'P m m 2'
_symmetry_Int_Tables_number 25
loop_
_symmetry_equiv_pos_as_xyz
'x,y,z'
'-x,-y,z'
'-x,y,z'
'x,-y,z'
loop_
_atom_site_label
_atom_site_type_symbol
_atom_site_fract_x
_atom_site_fract_y
_atom_site_fract_z
Zn1 Zn 0.0000 0.0000 0.0000
Ni1 Ni 0.5000 0.0000 0.5119
Ni2 Ni 0.5000 0.5000 0.8621
Pt1 Pt 0.0000 0.5000 0.3696
# Energy ... -5.424 eV/atom
# Crystal system ... orthorhombic
# Magnetization ... 0.002 μB/atom


(3)
# ZnNi2Pt, optimized geometry, DFT PBEsol
data_ZnNi2Pt
_chemical_formula_sum 'Zn2 Ni4 Pt2'
_cell_length_a 2.7225
_cell_length_b 4.2508
_cell_length_c 8.4281
_cell_angle_alpha 90.00
_cell_angle_beta 90.00
_cell_angle_gamma 90.00
_symmetry_space_group_name_H-M 'I m m 2'
_symmetry_Int_Tables_number 44
loop_
_symmetry_equiv_pos_as_xyz
'x,y,z'
'-x,-y,z'
'-x,y,z'
'x,-y,z'
'x+1/2,y+1/2,z+1/2'
'-x+1/2,-y+1/2,z+1/2'
'-x+1/2,y+1/2,z+1/2'
'x+1/2,-y+1/2,z+1/2'
loop_
_atom_site_label
_atom_site_type_symbol
_atom_site_fract_x
_atom_site_fract_y
_atom_site_fract_z
Zn1 Zn 0.0000 0.0000 0.0000
Ni1 Ni 0.0000 0.0000 0.5223
Ni2 Ni 0.0000 0.5000 0.2587
Pt1 Pt 0.0000 0.5000 0.7621
# Energy ... -5.386 eV/atom
# Crystal system ... orthorhombic
# Magnetization ... 0.004 μB/atom


(4)
# ZnNi2Pt, optimized geometry, DFT PBEsol
data_ZnNi2Pt
_chemical_formula_sum 'Zn2 Ni4 Pt2'
_cell_length_a 8.4959
_cell_length_b 2.6597
_cell_length_c 4.4065
_cell_angle_alpha 90.00
_cell_angle_beta 101.49
_cell_angle_gamma 90.00
_symmetry_space_group_name_H-M 'C 1 m 1'
_symmetry_Int_Tables_number 8
loop_
_symmetry_equiv_pos_as_xyz
'x,y,z'
'x,-y,z'
'x+1/2,y+1/2,z'
'x+1/2,-y+1/2,z'
loop_
_atom_site_label
_atom_site_type_symbol
_atom_site_fract_x
_atom_site_fract_y
_atom_site_fract_z
Zn1 Zn 0.0000 0.0000 0.0000
Ni1 Ni 0.0074 0.5000 0.5231
Ni2 Ni 0.2526 0.0000 0.7607
Pt1 Pt 0.2552 0.5000 0.2692
# Energy ... -5.428 eV/atom
# Crystal system ... monoclinic
# Magnetization ... 0.058 μB/atom


| no. | ΔH_f (0 K) (eV per atom) |
| --- | --- |
| 1 | -0.2270 |
| 2 | -0.2087 |
| 3 | -0.1712 |
| 4 | -0.2128 |